Material: ThCd12
Method: DFT, GGA-PBE
State: optimized geometry

Computed properties:
M_tot: 0.000 μB per formula unit
Fermi-level density of states: 0.342 states/eV per atom
space group: I4/mmm, No. 139
final energy: -1.47 eV per atom
formation enthalpy at 0 K: -0.051 eV per atom
V: 22.90 A^3/atom

a b c (Å): 7.660 7.660 7.660
angles (deg): 98.78 98.78 134.00
Positions (direct):
Th: 0.000 0.000 0.000
Cd: 0.000 0.000 0.500
Cd: 0.000 0.352 0.352
Cd: 0.000 0.500 0.000
Cd: 0.000 0.648 0.648
Cd: 0.290 0.500 0.790
Cd: 0.352 0.000 0.352
Cd: 0.500 0.000 0.000
Cd: 0.500 0.290 0.790
Cd: 0.500 0.500 0.500
Cd: 0.500 0.710 0.210
Cd: 0.648 0.000 0.648
Cd: 0.710 0.500 0.210